DyNi2Bi2: relaxed, PBE.

Cell and atoms, written as POSCAR:
```
DyNi2Bi2
1.0
-3.0606 -2.9103 -1.7669
-0.6886 -1.7976 4.1538
-7.5392 6.8797 1.7274
Dy Ni Bi
2 4 4
Direct
0.0000 0.5000 0.2175
0.5000 0.0000 0.7825
0.0000 0.0000 0.0000
0.5000 0.5000 0.0000
0.0000 0.5000 0.6307
0.5000 0.0000 0.3693
0.0000 0.0000 0.5000
0.5000 0.5000 0.5000
0.0000 0.5000 0.8733
0.5000 0.0000 0.1267
```

Properties
**Space group**: P4/nmm, No. 129
**Energy of formation**: -232 meV per atom
**Density of states at the Fermi level**: 5.54 states/eV/cell